A relaxed TcSCl3 crystal, computed with PBE-GGA.

The space group is Pm-3m (No. 221) and the conventional cell measures 4.938, 4.938 and 4.938 Å, with angles of 90.00, 90.00 and 90.00 degrees. The distinct sites, in fractional coordinates, are Tc at (0.000, 0.000, 0.000), S at (0.500, 0.500, 0.500) and Cl at (0.000, 0.500, 0.500).

The relative energy among the computed polymorphs comes out at 1404 meV per atom. The raw formation energy is 864 meV per atom. The value obtained for the mass density is 3.261 Mg/m³. The value obtained for the total energy is -3.1432 eV/atom.